1.
Sn2Hg7Pb3: relaxed, PBE.

## Properties
Its symmetry is P2/m (10). Its calculated formation energy is 0.048 eV/atom.

Cell lengths 3.3806, 5.8183, 17.2108 Å; angles 96.94, 90.00, 90.00 degrees
Fractional positions:
1 Hg 0.0000 0.0000 0.0000
2 Hg 0.5000 0.2163 0.1648
3 Hg 0.5000 0.7415 0.4809
4 Hg 0.5000 0.7837 0.8352
5 Hg 0.5000 0.2585 0.5191
6 Hg 0.0000 0.7413 0.1577
7 Hg 0.0000 0.2587 0.8423
8 Pb 0.5000 0.5000 0.0000
9 Pb 0.0000 0.8420 0.6474
10 Pb 0.0000 0.1580 0.3526
11 Sn 0.5000 0.3650 0.6936
12 Sn 0.5000 0.6350 0.3064

=====

2.
CrGa2Cl: relaxed, PBE.

## Properties
Its formation energy without anion corrections is 3.30 eV per formula unit. Its symmetry is Fm-3m (225).

Cell lengths 4.6454, 4.6454, 4.6454 Å; angles 60.00, 60.00, 60.00 degrees
Fractional positions:
1 Ga 0.7500 0.7500 0.7500
2 Ga 0.2500 0.2500 0.2500
3 Cl 0.0000 0.0000 0.0000
4 Cr 0.5000 0.5000 0.5000

=====

3.
MgScCdPb: relaxed, PBE.

## Properties
Its symmetry is F-43m (216). Its calculated formation energy is -0.145 eV/atom.

Cell lengths 5.0982, 5.0982, 5.0982 Å; angles 60.00, 60.00, 60.00 degrees
Fractional positions:
1 Cd 0.7500 0.7500 0.7500
2 Sc 0.5000 0.5000 0.5000
3 Mg 0.0000 0.0000 0.0000
4 Pb 0.2500 0.2500 0.2500

=====

4.
LaMgTa2: relaxed, PBE.

## Properties
Its symmetry is Cm (8). Its calculated formation energy is 0.449 eV/atom.

Cell lengths 5.1062, 5.1062, 6.3581 Å; angles 85.85, 85.85, 33.96 degrees
Fractional positions:
1 Ta 0.7377 0.7377 0.8079
2 Ta 0.9987 0.9987 0.9770
3 Mg 0.2592 0.2592 0.2093
4 La 0.5044 0.5044 0.5058

=====

5.
SnGe2Pt7: relaxed, PBE.

## Properties
Its symmetry is I4/mmm (139). Its calculated formation energy is -0.399 eV/atom.

Cell lengths 4.0517, 4.0517, 10.6879 Å; angles 100.93, 100.93, 90.00 degrees
Fractional positions:
1 Pt 0.3998 0.8998 0.7995
2 Pt 0.2500 0.7500 0.5000
3 Pt 0.8998 0.3998 0.7995
4 Pt 0.1002 0.6002 0.2005
5 Pt 0.7500 0.2500 0.5000
6 Pt 0.5000 0.5000 0.0000
7 Pt 0.6002 0.1002 0.2005
8 Sn 0.0000 0.0000 0.0000
9 Ge 0.3255 0.3255 0.6510
10 Ge 0.6745 0.6745 0.3490

=====

6.
K2TaMo: relaxed, PBE.

## Properties
Its symmetry is Immm (71). Its calculated formation energy is 0.849 eV/atom.

Cell lengths 11.1182, 11.1182, 11.1182 Å; angles 163.86, 158.35, 27.12 degrees
Site moments in Bohr magnetons follow the coordinates.
Fractional positions:
1 K 0.5990 0.5990 0.0000  0.00
2 K 0.9010 0.9010 0.0000  0.00
3 Mo 0.7500 0.2500 0.5000  0.24
4 Ta 0.2500 0.7500 0.5000  -0.09

=====

7.
SrGdHg: relaxed, PBE.

## Properties
Its symmetry is P3m1 (156). Its calculated formation energy is -0.145 eV/atom.

Cell lengths 4.2222, 5.3188, 5.3188 Å; angles 120.00, 90.00, 90.00 degrees
Site moments in Bohr magnetons follow the coordinates.
Fractional positions:
1 Gd 0.1583 0.0000 0.0000  7.05
2 Hg 0.1799 0.3333 0.6667  0.00
3 Sr 0.6618 0.6667 0.3333  0.00

=====

8.
K2LaFe: relaxed, PBE.

## Properties
Its symmetry is Fm-3m (225). Its calculated formation energy is 1.492 eV/atom.

Cell lengths 5.7183, 5.7183, 5.7183 Å; angles 60.00, 60.00, 60.00 degrees
Site moments in Bohr magnetons follow the coordinates.
Fractional positions:
1 K 0.2500 0.2500 0.2500  -0.01
2 K 0.7500 0.7500 0.7500  -0.01
3 Fe 0.0000 0.0000 0.0000  0.09
4 La 0.5000 0.5000 0.5000  -0.19

=====

9.
Nd2AgHg8: relaxed, PBE.

## Properties
Its symmetry is P4/mmm (123). Its calculated formation energy is -0.260 eV/atom.

Cell lengths 4.7415, 4.7415, 12.6093 Å; angles 90.00, 90.00, 90.00 degrees
Fractional positions:
1 Hg 0.5000 0.0000 0.5000
2 Hg 0.0000 0.5000 0.8661
3 Hg 0.5000 0.0000 0.8661
4 Hg 0.0000 0.5000 0.1339
5 Hg 0.5000 0.5000 0.3248
6 Hg 0.5000 0.0000 0.1339
7 Hg 0.5000 0.5000 0.6752
8 Hg 0.0000 0.5000 0.5000
9 Nd 0.0000 0.0000 0.3064
10 Nd 0.0000 0.0000 0.6936
11 Ag 0.0000 0.0000 0.0000

=====

10.
SrGaI3: relaxed, PBE.

## Properties
Its formation energy without anion corrections is -5.62 eV per formula unit. Its symmetry is P2_1/m (11).

Cell lengths 4.8340, 8.9473, 13.2326 Å; angles 112.32, 90.00, 90.00 degrees
Fractional positions:
1 Ga 0.2500 0.1535 0.6606
2 Ga 0.7500 0.8465 0.3394
3 Sr 0.7500 0.8284 0.8279
4 Sr 0.2500 0.1716 0.1721
5 I 0.7500 0.9019 0.6005
6 I 0.2500 0.0981 0.3995
7 I 0.2500 0.1122 0.9054
8 I 0.2500 0.5679 0.7644
9 I 0.7500 0.8878 0.0946
10 I 0.7500 0.4321 0.2356

=====

11.
ZrInBr: relaxed, PBE.

## Properties
Its formation energy without anion corrections is -0.55 eV per formula unit. Its symmetry is P-6m2 (187).

Cell lengths 4.8883, 4.8883, 3.3962 Å; angles 90.00, 90.00, 120.00 degrees
Fractional positions:
1 Zr 0.3333 0.6667 0.8334
2 In 0.6667 0.3333 0.3332
3 Br 0.0000 0.0000 0.8334

=====

12.
MnAl3Co: relaxed, PBE.

## Properties
Its symmetry is Pm-3m (221). Its calculated formation energy is 0.154 eV/atom.

Cell lengths 4.4251, 4.4251, 4.4251 Å; angles 90.00, 90.00, 90.00 degrees
Site moments in Bohr magnetons follow the coordinates.
Fractional positions:
1 Al 0.5000 0.0000 0.0000  0.00
2 Al 0.0000 0.5000 0.0000  -0.01
3 Al 0.0000 0.0000 0.5000  0.01
4 Mn 0.5000 0.5000 0.5000  3.99
5 Co 0.0000 0.0000 0.0000  0.05

=====

13.
Ba3Zn2InO6: relaxed, PBE.

## Properties
Its formation energy without anion corrections is -21.82 eV per formula unit. Its symmetry is P-3m1 (164).

Cell lengths 6.0954, 6.0954, 6.9893 Å; angles 90.00, 90.00, 120.00 degrees
Fractional positions:
1 Zn 0.6667 0.3333 0.7993
2 Zn 0.3333 0.6667 0.2007
3 O 0.6702 0.8351 0.3085
4 O 0.1649 0.8351 0.3085
5 O 0.1649 0.3298 0.3085
6 O 0.3298 0.1649 0.6915
7 O 0.8351 0.1649 0.6915
8 O 0.8351 0.6702 0.6915
9 Ba 0.3333 0.6667 0.6436
10 Ba 0.0000 0.0000 0.0000
11 Ba 0.6667 0.3333 0.3564
12 In 0.0000 0.0000 0.5000

=====

14.
Tb2Y6Er3: relaxed, PBE.

## Properties
Its symmetry is I4/mmm (139). Its calculated formation energy is 0.300 eV/atom.

Cell lengths 4.7089, 4.7089, 16.9930 Å; angles 97.96, 97.96, 90.00 degrees
Fractional positions:
1 Y 0.3010 0.3010 0.6020
2 Y 0.8789 0.3789 0.7578
3 Y 0.6211 0.1211 0.2422
4 Y 0.3789 0.8789 0.7578
5 Y 0.1211 0.6211 0.2422
6 Y 0.6990 0.6990 0.3980
7 Er 0.0000 0.0000 0.0000
8 Er 0.8019 0.8019 0.6037
9 Er 0.1981 0.1981 0.3963
10 Tb 0.4548 0.4548 0.9095
11 Tb 0.5452 0.5452 0.0905

=====

15.
Tb6Pr3Er2Tm: relaxed, PBE.

## Properties
Its symmetry is C2/m (12). Its calculated formation energy is 0.021 eV/atom.

Cell lengths 6.2122, 6.2122, 11.8712 Å; angles 95.00, 95.00, 119.99 degrees
Fractional positions:
1 Tb 0.0818 0.4150 0.2441
2 Tb 0.7486 0.7486 0.2441
3 Tb 0.9182 0.5850 0.7559
4 Tb 0.2514 0.2514 0.7559
5 Tb 0.5850 0.9182 0.7559
6 Tb 0.4150 0.0818 0.2441
7 Er 0.3334 0.6666 0.0000
8 Er 0.6666 0.3334 0.0000
9 Tm 0.0000 0.0000 0.0000
10 Pr 0.1666 0.8334 0.5000
11 Pr 0.8334 0.1666 0.5000
12 Pr 0.5000 0.5000 0.5000

=====

16.
PmBeAl: relaxed, PBE.

## Properties
Its symmetry is R-3m (166). Its calculated formation energy is 0.177 eV/atom.

Cell lengths 4.4563, 4.4563, 8.2472 Å; angles 74.33, 74.33, 60.00 degrees
Fractional positions:
1 Al 0.8251 0.8251 0.5248
2 Al 0.1749 0.1749 0.4752
3 Be 0.3050 0.3050 0.0851
4 Be 0.6950 0.6950 0.9149
5 Pm 0.4177 0.4177 0.7470
6 Pm 0.5823 0.5823 0.2530

=====

17.
CdTc2Mo: relaxed, PBE.

## Properties
Its symmetry is Cmmm (65). Its calculated formation energy is 0.269 eV/atom.

Cell lengths 2.7534, 2.7534, 9.2313 Å; angles 90.00, 90.00, 111.07 degrees
Fractional positions:
1 Tc 0.0000 0.0000 0.9802
2 Tc 0.0000 0.0000 0.5198
3 Cd 0.5000 0.5000 0.2500
4 Mo 0.5000 0.5000 0.7500

=====

18.
MgSn2PO: relaxed, PBE.

## Properties
Its formation energy without anion corrections is 2.60 eV per formula unit. Its symmetry is P4/mmm (123).

Cell lengths 5.3143, 4.6335, 5.3143 Å; angles 90.00, 90.00, 90.00 degrees
Fractional positions:
1 O 0.5000 0.5000 0.5000
2 Sn 0.0000 0.0000 0.5000
3 Sn 0.5000 0.0000 0.0000
4 P 0.0000 0.0000 0.0000
5 Mg 0.0000 0.5000 0.0000

=====

19.
KRbSnF6: relaxed, PBE.

## Properties
Its formation energy without anion corrections is -24.77 eV per formula unit. Its symmetry is P-31c (163).

Cell lengths 6.5216, 6.5216, 10.1114 Å; angles 90.00, 90.00, 120.00 degrees
Fractional positions:
1 Rb 0.0000 0.0000 0.5000
2 Rb 0.0000 0.0000 0.0000
3 F 0.5883 0.9237 0.8606
4 F 0.3354 0.4117 0.8606
5 F 0.9237 0.5883 0.3606
6 F 0.9237 0.3354 0.1394
7 F 0.6646 0.5883 0.1394
8 F 0.0763 0.4117 0.6394
9 F 0.4117 0.3354 0.3606
10 F 0.3354 0.9237 0.6394
11 F 0.6646 0.0763 0.3606
12 F 0.0763 0.6646 0.8606
13 F 0.5883 0.6646 0.6394
14 F 0.4117 0.0763 0.1394
15 K 0.3333 0.6667 0.2500
16 K 0.6667 0.3333 0.7500
17 Sn 0.3333 0.6667 0.7500
18 Sn 0.6667 0.3333 0.2500

=====

20.
Na2H6RhPb: relaxed, PBE.

## Properties
Its symmetry is P-3m1 (164). The uncorrected energy is -3.49 eV per atom.

Cell lengths 6.3663, 5.0419, 5.0419 Å; angles 120.00, 90.00, 90.00 degrees
Fractional positions:
1 H 0.8406 0.1534 0.8466
2 H 0.1594 0.8466 0.1534
3 H 0.1594 0.8466 0.6932
4 H 0.1594 0.3068 0.1534
5 H 0.8406 0.6932 0.8466
6 H 0.8406 0.1534 0.3068
7 Pb 0.5000 0.0000 0.0000
8 Rh 0.0000 0.0000 0.0000
9 Na 0.8758 0.6667 0.3333
10 Na 0.1242 0.3333 0.6667